This record from the Alexandria database describes a relaxed MgV3Ni crystal. The functional is PBE-GGA.

a b c (Å): 4.4365 4.4365 4.4365
angles (deg): 90.00 90.00 90.00
With the nearest neighbours (Å) after each atom.
Fractional positions:
Mg (0.0000, 0.0000, 0.0000)  6 V 2.22
V (0.0000, 0.0000, 0.5000)  2 Mg 2.22
V (0.0000, 0.5000, 0.0000)  2 Mg 2.22
V (0.5000, 0.0000, 0.0000)  2 Mg 2.22
Ni (0.5000, 0.5000, 0.5000)  12 V 3.14

Computed properties:
formation energy: 10.124 eV/f.u.
space-group type: Pm-3m
offset from the most stable computed form: 1201.9 meV per atom
M_tot: 0.41 μB per atom
V: 87 Å³/cell
calculated total energy: -24.61 eV/cell
N(E_F): 8.7 states/eV/cell



This record from the Alexandria database describes a relaxed TeAsRu3 crystal. The functional is PBE-GGA.

a b c (Å): 4.8278 4.8278 4.8278
angles (deg): 90.00 90.00 90.00
With the nearest neighbours (Å) after each atom.
Fractional positions:
Te (0.0000, 0.0000, 0.0000)  6 Ru 2.41
As (0.5000, 0.5000, 0.5000)  12 Ru 3.41
Ru (0.0000, 0.0000, 0.5000)  2 Te 2.41
Ru (0.0000, 0.5000, 0.0000)  2 Te 2.41
Ru (0.5000, 0.0000, 0.0000)  2 Te 2.41

Computed properties:
space-group type: Pm-3m
energy relative to the elements, uncorrected: 1.58 eV per atom
offset from the most stable computed form: 719.3 meV per atom
M_tot: 0.66 μB per atom
V: 113 Å³/cell
calculated total energy: -27.72 eV/cell
N(E_F): 6.2 states/eV/cell



This record from the Alexandria database describes a relaxed SiRh3 crystal. The functional is PBE-GGA.

a b c (Å): 4.5782 4.5782 4.5782
angles (deg): 130.15 130.15 73.17
With the nearest neighbours (Å) after each atom.
Fractional positions:
Si (0.0000, 0.0000, 0.0000)  12 Rh 2.66-2.73
Rh (0.2500, 0.7500, 0.5000)  8 Rh 2.66-2.73, 4 Si 2.66
Rh (0.5000, 0.5000, 0.0000)  8 Rh 2.66, 4 Si 2.73
Rh (0.7500, 0.2500, 0.5000)  8 Rh 2.66-2.73, 4 Si 2.66

Computed properties:
space-group type: I4/mmm
energy relative to the elements, uncorrected: -0.35 eV per atom
M_tot: 0.00 μB per atom
V: 55 Å³/cell
calculated total energy: -28.89 eV/cell
N(E_F): 4.6 states/eV/cell



This record from the Alexandria database describes a relaxed TiCoRh3 crystal. The functional is PBE-GGA.

a b c (Å): 4.4880 4.4880 4.4880
angles (deg): 90.00 90.00 90.00
With the nearest neighbours (Å) after each atom.
Fractional positions:
Ti (0.0000, 0.0000, 0.0000)  6 Rh 2.24
Co (0.5000, 0.5000, 0.5000)  12 Rh 3.17
Rh (0.0000, 0.0000, 0.5000)  2 Ti 2.24
Rh (0.0000, 0.5000, 0.0000)  2 Ti 2.24
Rh (0.5000, 0.0000, 0.0000)  2 Ti 2.24

Computed properties:
formation energy: 4.361 eV/f.u.
space-group type: Pm-3m
offset from the most stable computed form: 155.0 meV per atom
M_tot: 0.57 μB per atom
V: 90 Å³/cell
calculated total energy: -32.69 eV/cell
N(E_F): 4.0 states/eV/cell



This record from the Alexandria database describes a relaxed TcTe2P crystal. The functional is PBE-GGA.

a b c (Å): 4.4737 4.3719 4.5862
angles (deg): 90.00 107.86 90.00
With the nearest neighbours (Å) after each atom.
Fractional positions:
Tc (0.0000, 0.0000, 0.0000)  2 P 2.41
Te (0.4074, 0.0000, 0.6015)  3 Tc 2.72-2.95, 2 P 2.93
Te (0.7587, 0.5000, 0.2346)  2 P 2.65-2.74, 2 Tc 2.80
P (0.1635, 0.5000, 0.8905)  2 Tc 2.41, 1 Te 2.65

Computed properties:
space-group type: Pm
energy relative to the elements, uncorrected: 0.13 eV per atom
M_tot: 0.00 μB per atom
V: 85 Å³/cell
calculated total energy: -21.53 eV/cell
N(E_F): 1.9 states/eV/cell



This record from the Alexandria database describes a relaxed Pr2GeW crystal. The functional is PBE-GGA.

a b c (Å): 11.1626 11.1626 11.1626
angles (deg): 16.42 16.42 16.42
With the nearest neighbours (Å) after each atom.
Fractional positions:
Pr (0.0891, 0.0891, 0.0891)  1 W 2.94, 3 Ge 3.15, 6 Pr 3.19
Pr (0.9109, 0.9109, 0.9109)  1 W 2.94, 3 Ge 3.15, 6 Pr 3.19
Ge (0.5000, 0.5000, 0.5000)  6 Pr 3.15, 6 Ge 3.19
W (0.0000, 0.0000, 0.0000)  2 Pr 2.94, 6 W 3.19

Computed properties:
formation energy: 2.775 eV/f.u.
space-group type: R-3m
M_tot: 0.00 μB per atom
V: 97 Å³/cell
calculated total energy: -24.35 eV/cell
N(E_F): 3.8 states/eV/cell